Record 1
{
  "formula": "Pr2SmTm6",
  "functional": "PBE",
  "state": "relaxed",
  "lattice_angstrom": [[6.313, 1.254, 1.214], [3.290, 10.221, 0.078], [3.290, 0.409, 10.214]],
  "species": ["Pr", "Pr", "Pr", "Pr", "Sm", "Sm", "Tm", "Tm", "Tm", "Tm", "Tm", "Tm", "Tm", "Tm", "Tm", "Tm", "Tm", "Tm"],
  "frac_coords": [[0.088, 0.615, 0.671], [0.412, 0.329, 0.385], [0.912, 0.385, 0.329], [0.588, 0.671, 0.615], [0.250, 0.119, 0.881], [0.750, 0.881, 0.119], [0.434, 0.723, 0.344], [0.066, 0.656, 0.277], [0.566, 0.277, 0.656], [0.934, 0.344, 0.723], [0.753, 0.944, 0.539], [0.747, 0.461, 0.056], [0.247, 0.056, 0.461], [0.253, 0.539, 0.944], [0.447, 0.780, 0.956], [0.053, 0.044, 0.220], [0.553, 0.220, 0.044], [0.947, 0.956, 0.780]],
  "e_above_lowest_polymorph_ev_per_atom": 0.0303,
  "formation_energy_ev_per_fu": 0.967,
  "mass_density_g_cm3": 8.31,
  "dft_energy_ev_per_atom": -4.46,
  "spacegroup": "C2/c, No. 15"
}

Record 2
{
  "formula": "Pr7Sm2Tm3",
  "functional": "PBE",
  "state": "relaxed",
  "lattice_angstrom": [[-2.358, -2.524, -0.967], [4.901, -3.807, -2.012], [4.628, -9.912, 14.589]],
  "species": ["Pr", "Pr", "Pr", "Pr", "Pr", "Pr", "Pr", "Sm", "Sm", "Tm", "Tm", "Tm"],
  "frac_coords": [[0.500, 0.236, 0.506], [0.500, 0.764, 0.494], [0.000, 0.556, 0.165], [0.000, 0.000, 0.000], [0.000, 0.444, 0.835], [0.500, 0.945, 0.827], [0.500, 0.055, 0.173], [0.500, 0.611, 0.330], [0.500, 0.389, 0.670], [0.500, 0.500, 0.000], [0.000, 0.117, 0.341], [0.000, 0.883, 0.659]],
  "e_above_lowest_polymorph_ev_per_atom": 0.0000,
  "formation_energy_ev_per_fu": 0.794,
  "mass_density_g_cm3": 7.23,
  "dft_energy_ev_per_atom": -4.63,
  "spacegroup": "P2/m, No. 10"
}

Record 3
{
  "formula": "Pr12Sm2Tm",
  "functional": "PBE",
  "state": "relaxed",
  "lattice_angstrom": [[6.649, 0.000, 0.000], [0.000, 6.649, 0.000], [0.000, 0.000, 25.691]],
  "species": ["Pr", "Pr", "Pr", "Pr", "Pr", "Pr", "Pr", "Pr", "Pr", "Pr", "Pr", "Pr", "Pr", "Pr", "Pr", "Pr", "Pr", "Pr", "Pr", "Pr", "Pr", "Pr", "Pr", "Pr", "Sm", "Sm", "Sm", "Sm", "Tm", "Tm"],
  "frac_coords": [[0.500, 0.500, 0.787], [0.000, 0.000, 0.787], [0.816, 0.684, 0.888], [0.316, 0.816, 0.888], [0.000, 0.000, 0.337], [0.184, 0.684, 0.112], [0.832, 0.332, 0.563], [0.500, 0.500, 0.337], [0.184, 0.316, 0.888], [0.684, 0.816, 0.112], [0.332, 0.168, 0.563], [0.668, 0.168, 0.437], [0.000, 0.000, 0.663], [0.168, 0.332, 0.437], [0.316, 0.184, 0.112], [0.832, 0.668, 0.437], [0.668, 0.832, 0.563], [0.000, 0.000, 0.213], [0.168, 0.668, 0.563], [0.500, 0.500, 0.663], [0.684, 0.184, 0.888], [0.500, 0.500, 0.213], [0.332, 0.832, 0.437], [0.816, 0.316, 0.112], [0.500, 0.000, 0.268], [0.000, 0.500, 0.268], [0.000, 0.500, 0.732], [0.500, 0.000, 0.732], [0.500, 0.000, 0.000], [0.000, 0.500, 0.000]],
  "formation_energy_ev_per_fu": 4.704,
  "mass_density_g_cm3": 6.32,
  "dft_energy_ev_per_atom": -4.44,
  "spacegroup": "P4/nbm, No. 125"
}

Record 4
{
  "formula": "Pr5Sm12Tm2",
  "functional": "PBE",
  "state": "relaxed",
  "lattice_angstrom": [[8.818, 0.000, 0.000], [-4.409, 8.527, 3.408], [0.000, 0.240, 8.892]],
  "species": ["Pr", "Pr", "Pr", "Pr", "Pr", "Sm", "Sm", "Sm", "Sm", "Sm", "Sm", "Sm", "Sm", "Sm", "Sm", "Sm", "Sm", "Tm", "Tm"],
  "frac_coords": [[0.247, 0.493, 0.729], [0.300, 0.601, 0.210], [0.000, 0.000, 0.500], [0.700, 0.399, 0.790], [0.753, 0.507, 0.271], [0.946, 0.892, 0.174], [0.052, 0.707, 0.890], [0.655, 0.707, 0.890], [0.118, 0.725, 0.464], [0.608, 0.725, 0.464], [0.460, 0.920, 0.694], [0.540, 0.080, 0.306], [0.882, 0.275, 0.536], [0.392, 0.275, 0.536], [0.948, 0.293, 0.110], [0.345, 0.293, 0.110], [0.054, 0.108, 0.826], [0.673, 0.000, 0.000], [0.327, 0.000, 0.000]],
  "e_above_lowest_polymorph_ev_per_atom": 0.0854,
  "formation_energy_ev_per_fu": 3.785,
  "mass_density_g_cm3": 7.15,
  "dft_energy_ev_per_atom": -4.51,
  "spacegroup": "C2/m, No. 12"
}

Record 5
{
  "formula": "Pr11Sm9Tm4",
  "functional": "PBE",
  "state": "relaxed",
  "lattice_angstrom": [[3.687, 0.000, 0.000], [0.000, 14.410, -6.202], [0.000, -0.040, 15.687]],
  "species": ["Pr", "Pr", "Pr", "Pr", "Pr", "Pr", "Pr", "Pr", "Pr", "Pr", "Pr", "Sm", "Sm", "Sm", "Sm", "Sm", "Sm", "Sm", "Sm", "Sm", "Tm", "Tm", "Tm", "Tm"],
  "frac_coords": [[0.000, 0.597, 0.958], [0.000, 0.403, 0.042], [0.000, 0.958, 0.597], [0.000, 0.042, 0.403], [0.000, 0.630, 0.370], [0.000, 0.370, 0.630], [0.000, 0.838, 0.162], [0.000, 0.162, 0.838], [0.000, 0.000, 0.000], [0.000, 0.707, 0.707], [0.000, 0.293, 0.293], [0.500, 0.628, 0.166], [0.500, 0.372, 0.834], [0.500, 0.166, 0.628], [0.500, 0.834, 0.372], [0.500, 0.786, 0.933], [0.500, 0.214, 0.067], [0.500, 0.933, 0.786], [0.500, 0.067, 0.214], [0.500, 0.500, 0.500], [0.500, 0.556, 0.760], [0.500, 0.444, 0.240], [0.500, 0.760, 0.556], [0.500, 0.240, 0.444]],
  "formation_energy_ev_per_fu": 1.316,
  "mass_density_g_cm3": 7.14,
  "dft_energy_ev_per_atom": -4.65,
  "spacegroup": "Cmmm, No. 65"
}

Record 6
{
  "formula": "Pr2Sm3Tm8",
  "functional": "PBE",
  "state": "relaxed",
  "lattice_angstrom": [[6.397, 0.551, 2.515], [2.513, 8.024, 4.390], [1.193, 0.496, 9.397]],
  "species": ["Pr", "Pr", "Sm", "Sm", "Sm", "Tm", "Tm", "Tm", "Tm", "Tm", "Tm", "Tm", "Tm"],
  "frac_coords": [[0.478, 0.221, 0.221], [0.522, 0.779, 0.779], [0.500, 0.000, 0.000], [0.000, 0.177, 0.823], [0.000, 0.823, 0.177], [0.076, 0.579, 0.579], [0.924, 0.421, 0.421], [0.010, 0.193, 0.193], [0.990, 0.807, 0.807], [0.564, 0.564, 0.202], [0.564, 0.202, 0.564], [0.436, 0.798, 0.436], [0.436, 0.436, 0.798]],
  "e_above_lowest_polymorph_ev_per_atom": 0.0000,
  "formation_energy_ev_per_fu": 3.057,
  "mass_density_g_cm3": 7.91,
  "dft_energy_ev_per_atom": -4.34,
  "spacegroup": "C2/m, No. 12"
}

Record 7
{
  "formula": "Pr4Sm5Tm",
  "functional": "PBE",
  "state": "relaxed",
  "lattice_angstrom": [[-0.292, 0.877, 3.472], [-11.264, -1.160, -0.645], [0.834, -8.889, 0.446]],
  "species": ["Pr", "Pr", "Pr", "Pr", "Sm", "Sm", "Sm", "Sm", "Sm", "Tm"],
  "frac_coords": [[0.653, 0.250, 0.311], [0.968, 0.248, 0.940], [0.347, 0.750, 0.689], [0.032, 0.752, 0.060], [0.172, 0.556, 0.348], [0.172, 0.949, 0.345], [0.828, 0.051, 0.655], [0.500, 0.500, 0.000], [0.828, 0.444, 0.652], [0.500, 0.000, 0.000]],
  "e_above_lowest_polymorph_ev_per_atom": 0.0000,
  "formation_energy_ev_per_fu": 1.743,
  "mass_density_g_cm3": 6.91,
  "dft_energy_ev_per_atom": -4.54,
  "spacegroup": "P-1, No. 2"
}

Record 8
{
  "formula": "PrSmTm5",
  "functional": "PBE",
  "state": "relaxed",
  "lattice_angstrom": [[-6.638, -0.964, 0.175], [-2.370, -6.205, -0.955], [-5.452, -6.739, 10.661]],
  "species": ["Pr", "Pr", "Sm", "Sm", "Tm", "Tm", "Tm", "Tm", "Tm", "Tm", "Tm", "Tm", "Tm", "Tm"],
  "frac_coords": [[0.725, 0.275, 0.750], [0.275, 0.725, 0.250], [0.000, 0.000, 0.000], [0.000, 0.000, 0.500], [0.174, 0.392, 0.746], [0.635, 0.702, 0.502], [0.392, 0.174, 0.246], [0.159, 0.841, 0.750], [0.298, 0.365, 0.998], [0.702, 0.635, 0.002], [0.841, 0.159, 0.250], [0.608, 0.826, 0.754], [0.365, 0.298, 0.498], [0.826, 0.608, 0.254]],
  "e_above_lowest_polymorph_ev_per_atom": 0.0000,
  "formation_energy_ev_per_fu": 1.411,
  "mass_density_g_cm3": 8.40,
  "dft_energy_ev_per_atom": -4.35,
  "spacegroup": "C2/c, No. 15"
}

Record 9
{
  "formula": "Pr4Sm3Tm2",
  "functional": "PBE",
  "state": "relaxed",
  "lattice_angstrom": [[-0.702, -2.112, -2.951], [6.703, 0.256, 0.536], [6.302, -11.455, 6.698]],
  "species": ["Pr", "Pr", "Pr", "Pr", "Sm", "Sm", "Sm", "Tm", "Tm"],
  "frac_coords": [[0.652, 0.303, 0.128], [0.109, 0.217, 0.609], [0.891, 0.783, 0.391], [0.348, 0.697, 0.872], [0.379, 0.759, 0.613], [0.000, 0.000, 0.000], [0.621, 0.241, 0.387], [0.342, 0.683, 0.209], [0.658, 0.317, 0.791]],
  "e_above_lowest_polymorph_ev_per_atom": 0.0678,
  "formation_energy_ev_per_fu": 0.808,
  "mass_density_g_cm3": 7.16,
  "dft_energy_ev_per_atom": -4.60,
  "spacegroup": "C2/m, No. 12"
}

Record 10
{
  "formula": "PrSmTm",
  "functional": "PBE",
  "state": "relaxed",
  "lattice_angstrom": [[3.609, -0.002, -0.001], [-1.803, 3.127, -0.002], [0.003, 0.007, 8.842]],
  "species": ["Pr", "Sm", "Tm"],
  "frac_coords": [[0.458, 0.105, 0.109], [0.124, 0.439, 0.455], [0.791, 0.772, 0.779]],
  "e_above_lowest_polymorph_ev_per_atom": 0.0004,
  "formation_energy_ev_per_fu": 0.070,
  "mass_density_g_cm3": 7.66,
  "dft_energy_ev_per_atom": -4.63,
  "spacegroup": "P3m1, No. 156"
}

Record 11
{
  "formula": "Pr7SmTm2",
  "functional": "PBE",
  "state": "relaxed",
  "lattice_angstrom": [[5.785, 0.000, 0.000], [0.000, 9.277, -0.400], [0.000, -4.543, 8.098]],
  "species": ["Pr", "Pr", "Pr", "Pr", "Pr", "Pr", "Pr", "Sm", "Tm", "Tm"],
  "frac_coords": [[0.000, 0.770, 0.230], [0.000, 0.230, 0.770], [0.500, 0.064, 0.296], [0.500, 0.936, 0.704], [0.500, 0.296, 0.064], [0.500, 0.704, 0.936], [0.500, 0.500, 0.500], [0.000, 0.000, 0.000], [0.500, 0.704, 0.296], [0.500, 0.296, 0.704]],
  "formation_energy_ev_per_fu": 6.261,
  "mass_density_g_cm3": 5.77,
  "dft_energy_ev_per_atom": -4.09,
  "spacegroup": "Cmmm, No. 65"
}

Record 12
{
  "formula": "PrSm3Tm4",
  "functional": "PBE",
  "state": "relaxed",
  "lattice_angstrom": [[6.264, 0.000, 0.000], [0.000, 7.287, 0.000], [0.000, 0.000, 11.402]],
  "species": ["Pr", "Pr", "Sm", "Sm", "Sm", "Sm", "Sm", "Sm", "Tm", "Tm", "Tm", "Tm", "Tm", "Tm", "Tm", "Tm"],
  "frac_coords": [[0.145, 0.373, 0.000], [0.645, 0.627, 0.500], [0.646, 0.629, 0.000], [0.983, 0.629, 0.250], [0.483, 0.371, 0.250], [0.146, 0.371, 0.500], [0.483, 0.371, 0.750], [0.983, 0.629, 0.750], [0.148, 0.879, 0.000], [0.647, 0.120, 0.000], [0.981, 0.121, 0.251], [0.481, 0.879, 0.249], [0.147, 0.880, 0.500], [0.648, 0.121, 0.500], [0.481, 0.879, 0.751], [0.981, 0.121, 0.749]],
  "e_above_lowest_polymorph_ev_per_atom": 0.0030,
  "formation_energy_ev_per_fu": 0.190,
  "mass_density_g_cm3": 8.09,
  "dft_energy_ev_per_atom": -4.58,
  "spacegroup": "Pmn2_1, No. 31"
}